Entry 1:
# SrTbTm, relaxed, DFT PBE
data_SrTbTm
_chemical_formula_sum 'Sr4 Tb4 Tm4'
_cell_length_a 8.0755
_cell_length_b 8.0755
_cell_length_c 8.0755
_cell_angle_alpha 90.00
_cell_angle_beta 90.00
_cell_angle_gamma 90.00
_space_group_name_H-M_alt 'F -4 3 m'
_space_group_IT_number 216
_space_group_name_Hall 'F -4 2 3'
loop_
_atom_site_label
_atom_site_type_symbol
_atom_site_fract_x
_atom_site_fract_y
_atom_site_fract_z
Sr1 Sr 0.0000 0.0000 0.0000
Tb1 Tb 0.0000 0.0000 0.5000
Tm1 Tm 0.2500 0.2500 0.2500
# Crystal system: cubic
# VASP energy (eV per atom): -2.7877
# ρ (kg/m³): 5240

---

Entry 2:
# Sr4Tb2Tm, relaxed, DFT PBE
data_Sr4Tb2Tm
_chemical_formula_sum 'Sr4 Tb2 Tm1'
_cell_length_a 3.7949
_cell_length_b 3.7949
_cell_length_c 23.2509
_cell_angle_alpha 90.00
_cell_angle_beta 90.00
_cell_angle_gamma 120.00
_space_group_name_H-M_alt 'P -3 m 1'
_space_group_IT_number 164
_space_group_name_Hall '-P 3 2"'
loop_
_atom_site_label
_atom_site_type_symbol
_atom_site_fract_x
_atom_site_fract_y
_atom_site_fract_z
Sr1 Sr 0.3333 0.6667 0.3659
Sr2 Sr 0.3333 0.6667 0.9236
Tb1 Tb 0.3333 0.6667 0.2118
Tm1 Tm 0.0000 0.0000 0.5000
# Crystal system: trigonal
# VASP energy (eV per atom): -2.6122
# ρ (kg/m³): 4795

---

Entry 3:
# SrTbY, relaxed, DFT PBE
data_SrTbY
_chemical_formula_sum 'Sr4 Tb4 Y4'
_cell_length_a 8.1532
_cell_length_b 8.1532
_cell_length_c 8.1532
_cell_angle_alpha 90.00
_cell_angle_beta 90.00
_cell_angle_gamma 90.00
_space_group_name_H-M_alt 'F -4 3 m'
_space_group_IT_number 216
_space_group_name_Hall 'F -4 2 3'
loop_
_atom_site_label
_atom_site_type_symbol
_atom_site_fract_x
_atom_site_fract_y
_atom_site_fract_z
Sr1 Sr 0.0000 0.0000 0.0000
Tb1 Tb 0.0000 0.0000 0.5000
Y1 Y 0.2500 0.2500 0.2500
# Crystal system: cubic
# VASP energy (eV per atom): -3.4331
# ρ (kg/m³): 4111

---

Entry 4:
# SrTcTe, relaxed, DFT PBE
data_SrTcTe
_chemical_formula_sum 'Sr4 Tc4 Te4'
_cell_length_a 7.4588
_cell_length_b 7.4588
_cell_length_c 7.4588
_cell_angle_alpha 90.00
_cell_angle_beta 90.00
_cell_angle_gamma 90.00
_space_group_name_H-M_alt 'F -4 3 m'
_space_group_IT_number 216
_space_group_name_Hall 'F -4 2 3'
loop_
_atom_site_label
_atom_site_type_symbol
_atom_site_fract_x
_atom_site_fract_y
_atom_site_fract_z
Sr1 Sr 0.0000 0.0000 0.0000
Tc1 Tc 0.2500 0.2500 0.7500
Te1 Te 0.2500 0.2500 0.2500
# Crystal system: cubic
# VASP energy (eV per atom): -4.1525
# ρ (kg/m³): 5014

---

Entry 5:
# SrTcTe, relaxed, DFT PBE
data_SrTcTe
_chemical_formula_sum 'Sr4 Tc4 Te4'
_cell_length_a 6.7853
_cell_length_b 6.7853
_cell_length_c 6.7853
_cell_angle_alpha 90.00
_cell_angle_beta 90.00
_cell_angle_gamma 90.00
_space_group_name_H-M_alt 'F -4 3 m'
_space_group_IT_number 216
_space_group_name_Hall 'F -4 2 3'
loop_
_atom_site_label
_atom_site_type_symbol
_atom_site_fract_x
_atom_site_fract_y
_atom_site_fract_z
Sr1 Sr 0.0000 0.0000 0.0000
Tc1 Tc 0.2500 0.2500 0.2500
Te1 Te 0.0000 0.0000 0.5000
# Crystal system: cubic
# VASP energy (eV per atom): -4.8058
# ρ (kg/m³): 6660

---

Entry 6:
# SrTh2Tc2, relaxed, DFT PBE
data_SrTh2Tc2
_chemical_formula_sum 'Sr4 Th8 Tc8'
_cell_length_a 8.6819
_cell_length_b 9.8326
_cell_length_c 6.2225
_cell_angle_alpha 90.00
_cell_angle_beta 90.00
_cell_angle_gamma 90.00
_space_group_name_H-M_alt 'I b a m'
_space_group_IT_number 72
_space_group_name_Hall '-I 2 2c'
loop_
_atom_site_label
_atom_site_type_symbol
_atom_site_fract_x
_atom_site_fract_y
_atom_site_fract_z
Sr1 Sr 0.0000 0.0000 0.2500
Th1 Th 0.1150 0.3528 0.0000
Tc1 Tc 0.1792 0.3561 0.5000
# Crystal system: orthorhombic
# VASP energy (eV per atom): -7.2277
# ρ (kg/m³): 9350

---

Entry 7:
# SrY2Tc, relaxed, DFT PBE
data_SrY2Tc
_chemical_formula_sum 'Sr4 Y8 Tc4'
_cell_length_a 7.5066
_cell_length_b 7.5066
_cell_length_c 7.5066
_cell_angle_alpha 90.00
_cell_angle_beta 90.00
_cell_angle_gamma 90.00
_space_group_name_H-M_alt 'F -4 3 m'
_space_group_IT_number 216
_space_group_name_Hall 'F -4 2 3'
loop_
_atom_site_label
_atom_site_type_symbol
_atom_site_fract_x
_atom_site_fract_y
_atom_site_fract_z
Sr1 Sr 0.0000 0.0000 0.0000
Y1 Y 0.0000 0.0000 0.5000
Y2 Y 0.2500 0.2500 0.2500
Tc1 Tc 0.2500 0.2500 0.7500
# Crystal system: cubic
# VASP energy (eV per atom): -5.6722
# ρ (kg/m³): 5707

---

Entry 8:
# SrZrTc, relaxed, DFT PBE
data_SrZrTc
_chemical_formula_sum 'Sr4 Zr4 Tc4'
_cell_length_a 6.7602
_cell_length_b 6.7602
_cell_length_c 6.7602
_cell_angle_alpha 90.00
_cell_angle_beta 90.00
_cell_angle_gamma 90.00
_space_group_name_H-M_alt 'F -4 3 m'
_space_group_IT_number 216
_space_group_name_Hall 'F -4 2 3'
loop_
_atom_site_label
_atom_site_type_symbol
_atom_site_fract_x
_atom_site_fract_y
_atom_site_fract_z
Sr1 Sr 0.0000 0.0000 0.0000
Zr1 Zr 0.2500 0.2500 0.2500
Tc1 Tc 0.2500 0.2500 0.7500
# Crystal system: cubic
# VASP energy (eV per atom): -4.9913
# ρ (kg/m³): 5952

---

Entry 9:
# SrZr2Tc, relaxed, DFT PBE
data_SrZr2Tc
_chemical_formula_sum 'Sr4 Zr8 Tc4'
_cell_length_a 7.1423
_cell_length_b 7.1423
_cell_length_c 7.1423
_cell_angle_alpha 90.00
_cell_angle_beta 90.00
_cell_angle_gamma 90.00
_space_group_name_H-M_alt 'F -4 3 m'
_space_group_IT_number 216
_space_group_name_Hall 'F -4 2 3'
loop_
_atom_site_label
_atom_site_type_symbol
_atom_site_fract_x
_atom_site_fract_y
_atom_site_fract_z
Sr1 Sr 0.0000 0.0000 0.0000
Zr1 Zr 0.0000 0.0000 0.5000
Zr2 Zr 0.2500 0.2500 0.7500
Tc1 Tc 0.2500 0.2500 0.2500
# Crystal system: cubic
# VASP energy (eV per atom): -6.6223
# ρ (kg/m³): 6710

---

Entry 10:
# SrTmTe2, relaxed, DFT PBE
data_SrTmTe2
_chemical_formula_sum 'Sr1 Tm1 Te2'
_cell_length_a 4.4981
_cell_length_b 4.4981
_cell_length_c 6.3476
_cell_angle_alpha 90.00
_cell_angle_beta 90.00
_cell_angle_gamma 90.00
_space_group_name_H-M_alt 'P 4/m m m'
_space_group_IT_number 123
_space_group_name_Hall '-P 4 2'
loop_
_atom_site_label
_atom_site_type_symbol
_atom_site_fract_x
_atom_site_fract_y
_atom_site_fract_z
Sr1 Sr 0.0000 0.0000 0.0000
Tm1 Tm 0.5000 0.5000 0.5000
Te1 Te 0.0000 0.0000 0.5000
Te2 Te 0.5000 0.5000 0.0000
# Crystal system: tetragonal
# VASP energy (eV per atom): -4.4734
# ρ (kg/m³): 6617

---

Entry 11:
# SrTmZnTe3, relaxed, DFT PBE
data_SrTmZnTe3
_chemical_formula_sum 'Sr4 Tm4 Zn4 Te12'
_cell_length_a 4.3169
_cell_length_b 15.2592
_cell_length_c 11.1146
_cell_angle_alpha 90.00
_cell_angle_beta 90.00
_cell_angle_gamma 90.00
_space_group_name_H-M_alt 'C m c m'
_space_group_IT_number 63
_space_group_name_Hall '-C 2c 2'
loop_
_atom_site_label
_atom_site_type_symbol
_atom_site_fract_x
_atom_site_fract_y
_atom_site_fract_z
Sr1 Sr 0.0000 0.2335 0.2500
Tm1 Tm 0.0000 0.0000 0.0000
Zn1 Zn 0.0000 0.4745 0.7500
Te1 Te 0.0000 0.0890 0.7500
Te2 Te 0.0000 0.3618 0.5562
# Crystal system: orthorhombic
# VASP energy (eV per atom): -3.8513
# ρ (kg/m³): 6394

---

Entry 12:
# SrZnTe, relaxed, DFT PBE
data_SrZnTe
_chemical_formula_sum 'Sr4 Zn4 Te4'
_cell_length_a 7.7769
_cell_length_b 7.7769
_cell_length_c 7.7769
_cell_angle_alpha 90.00
_cell_angle_beta 90.00
_cell_angle_gamma 90.00
_space_group_name_H-M_alt 'F -4 3 m'
_space_group_IT_number 216
_space_group_name_Hall 'F -4 2 3'
loop_
_atom_site_label
_atom_site_type_symbol
_atom_site_fract_x
_atom_site_fract_y
_atom_site_fract_z
Sr1 Sr 0.0000 0.0000 0.0000
Zn1 Zn 0.0000 0.0000 0.5000
Te1 Te 0.2500 0.2500 0.2500
# Crystal system: cubic
# VASP energy (eV per atom): -2.6084
# ρ (kg/m³): 3963

---

Entry 13:
# SrZn2Te3, relaxed, DFT PBE
data_SrZn2Te3
_chemical_formula_sum 'Sr4 Zn8 Te12'
_cell_length_a 4.2547
_cell_length_b 14.3715
_cell_length_c 11.3394
_cell_angle_alpha 90.00
_cell_angle_beta 90.00
_cell_angle_gamma 90.00
_space_group_name_H-M_alt 'C m c m'
_space_group_IT_number 63
_space_group_name_Hall '-C 2c 2'
loop_
_atom_site_label
_atom_site_type_symbol
_atom_site_fract_x
_atom_site_fract_y
_atom_site_fract_z
Sr1 Sr 0.0000 0.2376 0.2500
Zn1 Zn 0.0000 0.0000 0.0000
Zn2 Zn 0.0000 0.4709 0.7500
Te1 Te 0.0000 0.0827 0.7500
Te2 Te 0.0000 0.3686 0.5546
# Crystal system: orthorhombic
# VASP energy (eV per atom): -2.9621
# ρ (kg/m³): 5760

---

Entry 14:
# SrZnTe, relaxed, DFT PBE
data_SrZnTe
_chemical_formula_sum 'Sr4 Zn4 Te4'
_cell_length_a 7.6058
_cell_length_b 7.6058
_cell_length_c 7.6058
_cell_angle_alpha 90.00
_cell_angle_beta 90.00
_cell_angle_gamma 90.00
_space_group_name_H-M_alt 'F -4 3 m'
_space_group_IT_number 216
_space_group_name_Hall 'F -4 2 3'
loop_
_atom_site_label
_atom_site_type_symbol
_atom_site_fract_x
_atom_site_fract_y
_atom_site_fract_z
Sr1 Sr 0.0000 0.0000 0.0000
Zn1 Zn 0.2500 0.2500 0.2500
Te1 Te 0.2500 0.2500 0.7500
# Crystal system: cubic
# VASP energy (eV per atom): -2.7289
# ρ (kg/m³): 4237

---

Entry 15:
# SrZnTe2, relaxed, DFT PBE
data_SrZnTe2
_chemical_formula_sum 'Sr4 Zn4 Te8'
_cell_length_a 7.8057
_cell_length_b 7.8057
_cell_length_c 7.8057
_cell_angle_alpha 90.00
_cell_angle_beta 90.00
_cell_angle_gamma 90.00
_space_group_name_H-M_alt 'F -4 3 m'
_space_group_IT_number 216
_space_group_name_Hall 'F -4 2 3'
loop_
_atom_site_label
_atom_site_type_symbol
_atom_site_fract_x
_atom_site_fract_y
_atom_site_fract_z
Sr1 Sr 0.0000 0.0000 0.0000
Zn1 Zn 0.2500 0.2500 0.2500
Te1 Te 0.0000 0.0000 0.5000
Te2 Te 0.2500 0.2500 0.7500
# Crystal system: cubic
# VASP energy (eV per atom): -2.6896
# ρ (kg/m³): 5701